Arrangement one

Compound: LiCr2Br
Source: the Alexandria database
Functional: PBE
Structure: relaxed

```
LiCr2Br
1.0
8.6182 0.0000 0.0000
8.1422 2.8247 0.0000
8.1422 1.3723 2.4690
Li Br Cr
1 1 2
direct
0.2500 0.2500 0.2500 Li
0.7500 0.7500 0.7500 Br
0.0073 0.0073 0.0073 Cr
0.4927 0.4927 0.4927 Cr
```

Calculated values
**Symmetry**: R-3m, No. 166
**Spin magnetization**: 1.10 μB/f.u.
**Calculated volume**: 60.1 Å³ per cell

Arrangement two

Compound: LiCr2Br
Source: the Alexandria database
Functional: PBE
Structure: relaxed

```
LiCr2Br
1.0
3.2957 -0.0158 0.0000
-1.4520 2.9587 0.0000
0.0000 0.0000 8.8027
Cr Li Br
2 1 1
direct
0.0000 0.0000 0.5092 Cr
0.0000 0.0000 0.9908 Cr
0.5000 0.5000 0.2500 Li
0.5000 0.5000 0.7500 Br
```

Calculated values
**Symmetry**: Cmmm, No. 65
**Spin magnetization**: 9.22 μB/f.u.
**Calculated volume**: 85.6 Å³ per cell

Arrangement three

Compound: LiCr2Br
Source: the Alexandria database
Functional: PBE
Structure: relaxed

```
LiCr2Br
1.0
-1.9185 -2.9960 4.8873
2.8077 -2.7448 4.5962
-0.4766 4.8971 -3.5119
Cr Li Br
2 1 1
direct
0.5000 0.5000 0.0000 Cr
0.0000 0.0000 0.0000 Cr
0.2500 0.7500 0.5000 Li
0.7500 0.2500 0.5000 Br
```

Calculated values
**Symmetry**: I4/mmm, No. 139
**Spin magnetization**: 1.07 μB/f.u.
**Calculated volume**: 62.5 Å³ per cell

Stability comparison, relative energies in eV/atom: arrangement one 0.362; arrangement two 0.039; arrangement three 0.000

Arrangement one

Compound: LiCrBr2
Source: the Alexandria database
Functional: PBE
Structure: relaxed

```
LiCrBr2
1.0
-4.5283 -1.2200 1.7081
0.6569 -4.6812 -1.6020
1.4017 -0.8639 3.0991
Br Cr Li
2 1 1
direct
0.5000 0.5000 0.0000 Br
0.0000 0.0000 0.0000 Br
0.5000 0.0000 0.5000 Cr
0.0000 0.5000 0.5000 Li
```

Calculated values
**Symmetry**: P4/mmm, No. 123
**Spin magnetization**: 5.00 μB/f.u.
**Calculated volume**: 87.4 Å³ per cell

Arrangement two

Compound: LiCrBr2
Source: the Alexandria database
Functional: PBE
Structure: relaxed

```
LiCrBr2
1.0
-0.3284 0.3688 5.0819
-2.3810 -3.6392 2.6752
2.6941 -3.1622 2.9685
Li Br Cr
1 2 1
direct
0.7500 0.7500 0.7500 Li
0.0000 0.0000 0.0000 Br
0.2500 0.2500 0.2500 Br
0.5000 0.5000 0.5000 Cr
```

Calculated values
**Symmetry**: F-43m, No. 216
**Spin magnetization**: 5.00 μB/f.u.
**Calculated volume**: 94.1 Å³ per cell

Arrangement three

Compound: LiCrBr2
Source: the Alexandria database
Functional: PBE
Structure: relaxed

```
LiCrBr2
1.0
-2.3750 -4.6541 6.8526
2.0082 -4.8385 6.8422
-0.0359 -1.3349 8.5133
Br Li Cr
2 1 1
direct
0.0287 0.0287 0.0287 Br
0.2134 0.2134 0.2134 Br
0.6989 0.6989 0.6989 Li
0.5590 0.5590 0.5590 Cr
```

Calculated values
**Symmetry**: R3m, No. 160
**Spin magnetization**: 5.00 μB/f.u.
**Calculated volume**: 137.3 Å³ per cell

Arrangement four

Compound: LiCrBr2
Source: the Alexandria database
Functional: PBE
Structure: relaxed

```
LiCrBr2
1.0
4.0778 0.0108 -0.0828
2.1778 3.4476 -0.0828
1.3086 0.7234 6.7294
Li Cr Br
1 1 2
direct
0.7500 0.7500 0.7500 Li
0.2500 0.2500 0.2500 Cr
0.0518 0.0518 0.9774 Br
0.4482 0.4482 0.5226 Br
```

Calculated values
**Symmetry**: C2/m, No. 12
**Spin magnetization**: 5.00 μB/f.u.
**Calculated volume**: 94.9 Å³ per cell

Stability comparison, relative energies in eV/atom: arrangement one 0.186; arrangement two 0.656; arrangement three 0.053; arrangement four 0.000